The following is a PBE-GGA calculation of a relaxed structure of La2YFeSn, from Alexandria via LeMat-Bulk.

## Properties
Total energy, eV/f.u.: -30.40
Calculated formation energy, eV per atom: -0.323

Lattice parameters (Å, degrees): 5.064 5.064 5.439 90.00 90.00 90.00
Fractional positions:
La: 0.000 0.500 0.000
La: 0.500 0.000 0.000
Sn: 0.500 0.500 0.500
Fe: 0.000 0.000 0.000
Y: 0.000 0.000 0.500